Record 1
Crystalline LiNbOs at its relaxed geometry, computed with PBE-GGA.

```
LiNbOs
1.0
5.988 0.000 0.000
0.000 5.988 0.000
0.000 0.000 5.988
Li Nb Os
4 4 4
direct
0.000 0.000 0.000 Li
0.000 0.500 0.500 Li
0.500 0.000 0.500 Li
0.500 0.500 0.000 Li
0.000 0.000 0.500 Nb
0.000 0.500 0.000 Nb
0.500 0.000 0.000 Nb
0.500 0.500 0.500 Nb
0.250 0.250 0.250 Os
0.250 0.750 0.750 Os
0.750 0.250 0.750 Os
0.750 0.750 0.250 Os
```

energy relative to the lowest polymorph listed for this composition: 0 meV/atom
theoretical density: 8.97 g cm⁻³


Record 2
Crystalline Li2Nb2SiSnOs2 at its relaxed geometry, computed with PBE-GGA.

```
Li2Nb2SiSnOs2
1.0
4.379 0.000 0.000
0.000 4.379 0.000
0.000 0.000 6.254
Li Nb Si Sn Os
2 2 1 1 2
direct
0.000 0.500 0.234 Li
0.500 0.000 0.766 Li
0.000 0.000 0.000 Nb
0.500 0.500 0.500 Nb
0.500 0.500 0.000 Si
0.000 0.000 0.500 Sn
0.000 0.500 0.763 Os
0.500 0.000 0.237 Os
```

energy: -58.840 eV for the cell shown
theoretical density: 10.06 g cm⁻³


Record 3
Crystalline Li2TaNbSi2Os2 at its relaxed geometry, computed with PBE-GGA.

```
Li2TaNbSi2Os2
1.0
4.292 0.000 0.000
0.000 4.292 0.000
0.000 0.000 6.070
Li Ta Nb Si Os
2 1 1 2 2
direct
0.000 0.500 0.250 Li
0.500 0.000 0.750 Li
0.000 0.000 0.500 Ta
0.500 0.500 0.000 Nb
0.000 0.000 0.000 Si
0.500 0.500 0.500 Si
0.000 0.500 0.749 Os
0.500 0.000 0.251 Os
```

energy: -62.812 eV for the cell shown
theoretical density: 10.76 g cm⁻³


Record 4
Crystalline Li2TaNbSn2Os2 at its relaxed geometry, computed with PBE-GGA.

```
Li2TaNbSn2Os2
1.0
4.489 0.000 0.000
0.000 4.489 0.000
0.000 0.000 6.349
Li Ta Nb Sn Os
2 1 1 2 2
direct
0.000 0.500 0.250 Li
0.500 0.000 0.750 Li
0.000 0.000 0.000 Ta
0.500 0.500 0.500 Nb
0.000 0.000 0.500 Sn
0.500 0.500 0.000 Sn
0.000 0.500 0.751 Os
0.500 0.000 0.249 Os
```

energy: -58.624 eV for the cell shown
theoretical density: 11.75 g cm⁻³


Record 5
Crystalline LiNb3P5 at its relaxed geometry, computed with PBE-GGA.

```
LiNb3P5
1.0
5.745 0.000 0.000
-2.872 4.975 0.000
0.000 0.000 5.878
Li Nb P
1 3 5
direct
0.000 0.000 0.000 Li
0.000 0.500 0.500 Nb
0.500 0.000 0.500 Nb
0.500 0.500 0.500 Nb
0.000 0.000 0.500 P
0.333 0.667 0.179 P
0.333 0.667 0.821 P
0.667 0.333 0.179 P
0.667 0.333 0.821 P
```

energy: -62.164 eV for the cell shown
theoretical density: 4.35 g cm⁻³


Record 6
Crystalline Li2NbPS4 at its relaxed geometry, computed with PBE-GGA.

```
Li2NbPS4
1.0
3.392 0.000 0.000
-1.696 2.937 0.000
0.000 0.000 12.878
Li Nb P S
2 1 1 4
direct
0.000 0.000 0.249 Li
0.000 0.000 0.751 Li
0.000 0.000 0.000 Nb
0.000 0.000 0.500 P
0.333 0.667 0.122 S
0.333 0.667 0.878 S
0.667 0.333 0.378 S
0.667 0.333 0.622 S
```

energy: -41.936 eV for the cell shown
theoretical density: 3.44 g cm⁻³


Please write out number 3 again, unchanged.
Crystalline Li2TaNbSi2Os2 at its relaxed geometry, computed with PBE-GGA.

```
Li2TaNbSi2Os2
1.0
4.292 0.000 0.000
0.000 4.292 0.000
0.000 0.000 6.070
Li Ta Nb Si Os
2 1 1 2 2
direct
0.000 0.500 0.250 Li
0.500 0.000 0.750 Li
0.000 0.000 0.500 Ta
0.500 0.500 0.000 Nb
0.000 0.000 0.000 Si
0.500 0.500 0.500 Si
0.000 0.500 0.749 Os
0.500 0.000 0.251 Os
```

energy: -62.812 eV for the cell shown
theoretical density: 10.76 g cm⁻³